(one)
A relaxed BeSb2Cl crystal. Source: Alexandria, functional PBE-GGA.

Computed properties:
* mass density: 4.396 Mg/m³
* volume: 27.20 A^3/atom

Cell lengths 3.492, 3.492, 11.044 Å; angles 90.00, 90.00, 126.10 degrees
Atoms (fractional coordinates):
1 Be 0.000 0.000 0.000
2 Sb 0.000 0.000 0.546
3 Sb 0.500 0.500 0.806
4 Cl 0.500 0.500 0.119

***

(two)
A relaxed BeSb2Cl crystal. Source: Alexandria, functional PBE-GGA.

Computed properties:
* mass density: 5.095 Mg/m³
* volume: 23.46 A^3/atom

Cell lengths 4.259, 4.259, 5.175 Å; angles 90.00, 90.00, 90.00 degrees
Atoms (fractional coordinates):
1 Be 0.000 0.000 0.000
2 Sb 0.000 0.500 0.500
3 Sb 0.500 0.000 0.500
4 Cl 0.500 0.500 0.000

***

Computed stability ranking, most favorable first: (one), (two)

***

(one)
A relaxed BeSb2Cl crystal. Source: Alexandria, functional PBE-GGA.

Computed properties:
* mass density: 5.592 Mg/m³
* volume: 21.38 A^3/atom

Cell lengths 5.142, 5.142, 3.235 Å; angles 90.00, 90.00, 90.00 degrees
Atoms (fractional coordinates):
1 Be 0.000 0.000 0.000
2 Sb 0.000 0.500 0.500
3 Sb 0.500 0.000 0.500
4 Cl 0.500 0.500 0.000

***

(two)
A relaxed BeSb2Cl crystal. Source: Alexandria, functional PBE-GGA.

Computed properties:
* mass density: 5.115 Mg/m³
* volume: 23.37 A^3/atom

Cell lengths 5.966, 5.966, 3.748 Å; angles 90.00, 90.00, 135.49 degrees
Atoms (fractional coordinates):
1 Be 0.000 0.000 0.000
2 Sb 0.169 0.831 0.500
3 Sb 0.831 0.169 0.500
4 Cl 0.500 0.500 0.000

***

(three)
A relaxed BeSb2Cl crystal. Source: Alexandria, functional PBE-GGA.

Computed properties:
* mass density: 5.431 Mg/m³
* volume: 22.01 A^3/atom

Cell lengths 4.994, 4.994, 4.994 Å; angles 60.00, 60.00, 60.00 degrees
Atoms (fractional coordinates):
1 Be 0.000 0.000 0.000
2 Sb 0.250 0.250 0.250
3 Sb 0.500 0.500 0.500
4 Cl 0.750 0.750 0.750

***

Computed stability ranking, most favorable first: (two), (three), (one)

***

(one)
A relaxed BeSb2Cl crystal. Source: Alexandria, functional PBE-GGA.

Computed properties:
* mass density: 5.401 Mg/m³
* volume: 22.14 A^3/atom

Cell lengths 3.419, 3.419, 7.994 Å; angles 90.00, 90.00, 108.65 degrees
Atoms (fractional coordinates):
1 Be 0.000 0.000 0.000
2 Sb 0.500 0.500 0.200
3 Sb 0.500 0.500 0.800
4 Cl 0.000 0.000 0.500

***

(two)
A relaxed BeSb2Cl crystal. Source: Alexandria, functional PBE-GGA.

Computed properties:
* mass density: 4.940 Mg/m³
* volume: 24.20 A^3/atom

Cell lengths 5.010, 4.578, 4.578 Å; angles 67.18, 90.00, 90.00 degrees
Atoms (fractional coordinates):
1 Be 0.000 0.000 0.000
2 Sb 0.000 0.637 0.637
3 Sb 0.500 0.863 0.863
4 Cl 0.500 0.312 0.312

***

Computed stability ranking, most favorable first: (one), (two)

***

(one)
A relaxed BeSb2Cl crystal. Source: Alexandria, functional PBE-GGA.

Computed properties:
* mass density: 5.325 Mg/m³
* volume: 22.45 A^3/atom

Cell lengths 6.301, 6.301, 6.301 Å; angles 149.42, 134.77, 55.59 degrees
Atoms (fractional coordinates):
1 Be 0.000 0.000 0.000
2 Sb 0.185 0.685 0.500
3 Sb 0.815 0.315 0.500
4 Cl 0.500 0.500 0.000

***

(two)
A relaxed BeSb2Cl crystal. Source: Alexandria, functional PBE-GGA.

Computed properties:
* mass density: 4.173 Mg/m³
* volume: 28.65 A^3/atom

Cell lengths 7.563, 7.563, 7.563 Å; angles 132.72, 132.72, 69.10 degrees
Atoms (fractional coordinates):
1 Be 0.000 0.000 0.000
2 Be 0.750 0.250 0.500
3 Sb 0.035 0.625 0.910
4 Sb 0.375 0.285 0.410
5 Sb 0.715 0.125 0.090
6 Sb 0.875 0.965 0.590
7 Cl 0.250 0.750 0.500
8 Cl 0.500 0.500 0.000

***

Computed stability ranking, most favorable first: (one), (two)